Entry 1:
Computed, not measured: a geometry-optimized PmSnSb structure at the PBE level of DFT.

The calculation puts the uncorrected energy at -4.550 eV/atom. For the density of states at the Fermi level, the calculation gives 0.810 states/eV per atom. The energy above the most stable polymorph in this dataset is 231.4 meV/atom. As for the formation energy from raw total energies: -6.0 kcal/mol of atoms.

The structure belongs to space group F-43m (No. 216); the cell edges are 7.393, 7.393 and 7.393 Å and the angles 90.00°, 90.00° and 90.00°. The asymmetric unit holds Pm at (0.000, 0.000, 0.000), Sn at (0.250, 0.250, 0.250) and Sb at (0.250, 0.250, 0.750).

***

Entry 2:
Computed, not measured: a geometry-optimized BeNiSe structure at the PBE level of DFT.

The calculation puts the uncorrected energy at -4.086 eV/atom. For the density of states at the Fermi level, the calculation gives 0.470 states/eV per atom. As for the formation energy from raw total energies: 5.6 kcal/mol of atoms.

The structure belongs to space group P6_3/mmc (No. 194); the cell edges are 4.2424, 4.2424 and 5.0203 Å and the angles 90.00°, 90.00° and 120.00°. The asymmetric unit holds Be at (0.0000, 0.0000, 0.0000), Ni at (0.3333, 0.6667, 0.2500) and Se at (0.3333, 0.6667, 0.7500).

***

What is the formation energy from raw total energies in the first record? -6.0 kcal/mol of atoms